Material: LuScCdC
Method: DFT, PBE
State: relaxed

Values from the calculation:
E_tot in eV per cell: -45.06

a b c (Å): 3.4036 3.4036 15.8598
angles (deg): 90.00 90.00 120.00
Space group P-6m2 (No. 187)
Symmetry-distinct sites (fractional):
1 Lu 0.0000 0.0000 0.1698 [2 per cell]
2 Sc 0.6667 0.3333 0.3298 [2 per cell]
3 Cd 0.0000 0.0000 0.5000 [1 per cell]
4 Cd 0.6667 0.3333 0.0000 [1 per cell]
5 C 0.3333 0.6667 0.2551 [2 per cell]